Record 1
VASP calculation (PBE) on a relaxed CaSc2Al crystal.

## Properties
* energy: -18.38 eV/cell

Cell: 4.7674 3.3409 6.6082 Å, 73.68 90.00 90.00°
With the nearest neighbours (Å) after each atom.
Positions (direct):
Sc 0.0000 0.0519 0.0382  2 Al 2.93, 1 Sc 2.95
Sc 0.0000 0.4481 0.4618  2 Al 2.93, 1 Sc 2.95
Ca 0.5000 0.7500 0.7500  2 Al 3.26, 2 Ca 3.34, 8 Sc 3.38-3.50
Al 0.5000 0.2500 0.2500  4 Sc 2.93, 2 Ca 3.26


Record 2
VASP calculation (PBE) on a relaxed LiCu2TeH crystal.

## Properties
* energy: -13.94 eV/cell

Cell: 4.8426 5.4223 4.8426 Å, 90.00 90.00 90.00°
With the nearest neighbours (Å) after each atom.
Positions (direct):
H 0.5000 0.5000 0.5000  4 Li 3.42, 8 Cu 3.63
Te 0.0000 0.0000 0.0000  4 Cu 2.42, 2 Li 2.71
Cu 0.0000 0.0000 0.5000  2 Te 2.42
Cu 0.5000 0.0000 0.0000  2 Te 2.42
Li 0.0000 0.5000 0.0000  2 Te 2.71


Record 3
VASP calculation (PBE) on a relaxed Nd3In3Hg2 crystal.

## Properties
* energy: -26.67 eV/cell

Cell: 4.7700 5.1029 9.6307 Å, 105.34 104.34 90.00°
With the nearest neighbours (Å) after each atom.
Positions (direct):
Nd 0.8582 0.3596 0.7164  4 Hg 3.14-3.15, 6 In 3.49-3.50
Nd 0.1418 0.6404 0.2836  4 Hg 3.14-3.15, 6 In 3.49-3.50
Nd 0.0000 0.0000 0.0000  8 In 3.34-3.49, 4 Nd 3.60-3.61
In 0.3697 0.8699 0.7394  4 Hg 3.14-3.41, 6 Nd 3.34-3.50, 2 In 3.46
In 0.5000 0.5000 0.0000  4 In 3.46, 8 Nd 3.49
In 0.6303 0.1301 0.2606  4 Hg 3.14-3.41, 6 Nd 3.34-3.50, 2 In 3.46
Hg 0.7560 0.7570 0.5120  4 In 3.14-3.41, 4 Nd 3.14-3.15, 4 Hg 3.49-3.51
Hg 0.2440 0.2430 0.4880  4 In 3.14-3.41, 4 Nd 3.14-3.15, 4 Hg 3.49-3.51


Record 4
VASP calculation (PBE) on a relaxed La3SiI3 crystal.

## Properties
* energy: -61.01 eV/cell

Cell: 8.7891 8.7891 7.6415 Å, 92.58 92.58 113.31°
With the nearest neighbours (Å) after each atom.
Positions (direct):
La 0.9331 0.9331 0.2417  2 Si 2.84-2.85
La 0.8146 0.5417 0.6806  1 Si 2.79
La 0.5417 0.8146 0.6806  1 Si 2.79
La 0.1854 0.4583 0.3194  1 Si 2.79
La 0.4583 0.1854 0.3194  1 Si 2.79
La 0.0669 0.0669 0.7583  2 Si 2.84-2.85
Si 0.8015 0.8015 0.8939  4 La 2.79-2.85
Si 0.1985 0.1985 0.1061  4 La 2.79-2.85
I 0.6101 0.6101 0.3284  5 La 3.24-3.43, 1 I 3.51
I 0.1782 0.8218 0.5000  6 La 3.31-3.56
I 0.8218 0.1782 0.5000  6 La 3.31-3.56
I 0.2774 0.7226 0.0000  2 La 3.35
I 0.7226 0.2774 0.0000  2 La 3.35
I 0.3899 0.3899 0.6716  5 La 3.24-3.43, 1 I 3.51


Record 5
VASP calculation (PBE) on a relaxed Ho5PaRu6 crystal.

## Properties
* energy: -93.85 eV/cell

Cell: 4.8386 6.8035 7.5294 Å, 90.00 71.26 90.00°
With the nearest neighbours (Å) after each atom.
Positions (direct):
Ru 0.8422 0.7615 0.3155  1 Pa 2.77, 7 Ho 2.87-3.06
Ru 0.8422 0.2385 0.3155  1 Pa 2.77, 7 Ho 2.87-3.06
Ru 0.5000 0.2366 0.0000  2 Pa 2.91, 6 Ho 2.92-3.01, 1 Ru 3.22
Ru 0.5000 0.7634 0.0000  2 Pa 2.91, 6 Ho 2.92-3.01, 1 Ru 3.22
Ru 0.1578 0.7615 0.6845  1 Pa 2.77, 7 Ho 2.87-3.06
Ru 0.1578 0.2385 0.6845  1 Pa 2.77, 7 Ho 2.87-3.06
Pa 0.0000 0.0000 0.0000  8 Ru 2.77-2.91
Ho 0.6673 0.5000 0.6653  8 Ru 2.98-3.06
Ho 0.3294 0.0000 0.3412  8 Ru 2.92-2.94
Ho 0.0000 0.5000 0.0000  8 Ru 2.87-3.01
Ho 0.6706 0.0000 0.6588  8 Ru 2.92-2.94
Ho 0.3327 0.5000 0.3347  8 Ru 2.98-3.06


Record 6
VASP calculation (PBE) on a relaxed Sm5URu4 crystal.

## Properties
* energy: -74.84 eV/cell

Cell: 4.3616 7.2202 8.8442 Å, 109.71 104.28 90.00°
With the nearest neighbours (Å) after each atom.
Positions (direct):
Sm 0.1665 0.0423 0.3331  3 Ru 2.89-2.95
Sm 0.1726 0.5533 0.3451  4 Ru 2.89-3.03
Sm 0.8274 0.4467 0.6549  4 Ru 2.89-3.03
Sm 0.5000 0.5000 0.0000  6 Ru 3.07-3.32
Sm 0.8335 0.9577 0.6669  3 Ru 2.89-2.95
U 0.5000 0.0000 0.0000  6 Ru 2.52-2.63
Ru 0.6392 0.2748 0.2785  1 U 2.52
Ru 0.9891 0.7896 0.9782  2 U 2.63, 1 Ru 2.93
Ru 0.3608 0.7252 0.7215  1 U 2.52
Ru 0.0109 0.2104 0.0218  2 U 2.63, 1 Ru 2.93